# 1
The following is a GGA-PBE calculation of an optimized crystal structure of LiLaZr, from Alexandria.

Lattice parameters (Å, degrees): 3.3446 3.3446 8.2750 90.00 90.00 120.00
Closest atoms and distances in Å follow each position.
Element x y z (fractional)
Li  0.6667  0.3333  0.3525  3 Zr 3.19, 6 Li 3.34
La  0.0000  0.0000  0.9886  3 Zr 3.34, 6 La 3.34, 3 Li 3.58
Zr  0.3333  0.6667  0.6589  3 Li 3.19, 3 La 3.34, 6 Zr 3.34

SG: P3m1 (156)
Formation enthalpy at 0 K: 0.23 eV/atom
Density: 4.91 g/cm3
Crystal system: trigonal
ΔE to the lowest computed polymorph: 33 meV per atom


# 2
The following is a GGA-PBE calculation of an optimized crystal structure of LiLa2Zr, from Alexandria.

Lattice parameters (Å, degrees): 6.0596 6.0596 6.0596 134.37 134.37 66.51
Closest atoms and distances in Å follow each position.
Element x y z (fractional)
Zr  0.7500  0.2500  0.5000  8 La 3.32-3.46, 4 Li 3.46
La  0.2500  0.7500  0.5000  4 Zr 3.32, 4 La 3.46, 4 Li 3.46
La  0.0000  0.0000  0.0000  4 Li 3.32, 4 Zr 3.46, 4 La 3.46
Li  0.5000  0.5000  0.0000  8 La 3.32-3.46, 4 Zr 3.46

SG: I-4m2 (119)
Formation enthalpy at 0 K: 0.26 eV/atom
Density: 5.58 g/cm3
Crystal system: tetragonal
ΔE to the lowest computed polymorph: 148 meV per atom


# 3
The following is a GGA-PBE calculation of an optimized crystal structure of LiLaZr2, from Alexandria.

Lattice parameters (Å, degrees): 5.4150 5.4150 5.4150 127.26 127.26 77.83
Closest atoms and distances in Å follow each position.
Element x y z (fractional)
Zr  0.2500  0.7500  0.5000  4 Zr 3.20, 4 La 3.20, 4 Li 3.40
Zr  0.0000  0.0000  0.0000  4 Zr 3.20, 4 Li 3.20, 4 La 3.40
Li  0.7500  0.2500  0.5000  4 La 3.20, 8 Zr 3.20-3.40
La  0.5000  0.5000  0.0000  4 Li 3.20, 8 Zr 3.20-3.40

SG: I-4m2 (119)
Formation enthalpy at 0 K: 0.27 eV/atom
Density: 5.59 g/cm3
Crystal system: tetragonal


# 4
The following is a GGA-PBE calculation of an optimized crystal structure of LiLa2Zr, from Alexandria.

Lattice parameters (Å, degrees): 3.2954 3.2954 11.6227 90.00 90.00 115.24
Closest atoms and distances in Å follow each position.
Element x y z (fractional)
Zr  0.5000  0.5000  0.7381  2 Li 3.10, 4 Zr 3.30, 2 La 3.30
La  0.5000  0.5000  0.2650  6 La 3.30-3.53, 2 Li 3.44
La  0.0000  0.0000  0.9783  6 La 3.30-3.53, 2 Zr 3.30
Li  0.0000  0.0000  0.5186  2 Zr 3.10, 4 Li 3.30, 2 La 3.44

SG: Cmm2 (35)
Formation enthalpy at 0 K: 0.26 eV/atom
Density: 5.47 g/cm3
Crystal system: orthorhombic
ΔE to the lowest computed polymorph: 152 meV per atom


Copy entry 3 word for word.
The following is a GGA-PBE calculation of an optimized crystal structure of LiLaZr2, from Alexandria.

Lattice parameters (Å, degrees): 5.4150 5.4150 5.4150 127.26 127.26 77.83
Closest atoms and distances in Å follow each position.
Element x y z (fractional)
Zr  0.2500  0.7500  0.5000  4 Zr 3.20, 4 La 3.20, 4 Li 3.40
Zr  0.0000  0.0000  0.0000  4 Zr 3.20, 4 Li 3.20, 4 La 3.40
Li  0.7500  0.2500  0.5000  4 La 3.20, 8 Zr 3.20-3.40
La  0.5000  0.5000  0.0000  4 Li 3.20, 8 Zr 3.20-3.40

SG: I-4m2 (119)
Formation enthalpy at 0 K: 0.27 eV/atom
Density: 5.59 g/cm3
Crystal system: tetragonal